(1)
Below is a relaxed structure of Re2MoP, with properties calculated at the GGA-PBE level.

Results
Formation enthalpy at 0 K (eV/atom): 0.318

Unit cell a=2.8029 b=2.8029 c=8.2469 alpha=90.00 beta=90.00 gamma=114.69
Closest atoms and distances in Å follow each position.
Element x y z (fractional)
Re  0.0000  0.0000  0.2248  2 P 2.39
Re  0.0000  0.0000  0.7752  2 P 2.39
Mo  0.5000  0.5000  0.5000  4 Re 2.73, 6 Mo 2.80-3.02
P  0.5000  0.5000  0.0000  4 Re 2.39

(2)
Below is a relaxed structure of PrDy9Ho2, with properties calculated at the GGA-PBE level.

Results
Formation enthalpy at 0 K (eV/atom): 0.022

Unit cell a=5.0246 b=5.0246 c=15.0828 alpha=90.00 beta=90.00 gamma=90.00
Closest atoms and distances in Å follow each position.
Element x y z (fractional)
Pr  0.0000  0.0000  0.0000  12 Dy 3.55-3.59
Dy  0.0000  0.5000  0.1696  2 Ho 3.54, 8 Dy 3.54-3.59, 2 Pr 3.59
Dy  0.0000  0.5000  0.5000  8 Dy 3.53-3.55, 4 Ho 3.54
Dy  0.0000  0.5000  0.8304  2 Ho 3.54, 8 Dy 3.54-3.59, 2 Pr 3.59
Dy  0.5000  0.0000  0.1696  2 Ho 3.54, 8 Dy 3.54-3.59, 2 Pr 3.59
Dy  0.5000  0.0000  0.5000  8 Dy 3.53-3.55, 4 Ho 3.54
Dy  0.5000  0.0000  0.8304  2 Ho 3.54, 8 Dy 3.54-3.59, 2 Pr 3.59
Dy  0.5000  0.5000  0.0000  4 Pr 3.55, 8 Dy 3.59
Dy  0.5000  0.5000  0.3353  8 Dy 3.53-3.54, 4 Ho 3.55
Dy  0.5000  0.5000  0.6647  8 Dy 3.53-3.54, 4 Ho 3.55
Ho  0.0000  0.0000  0.3346  12 Dy 3.54-3.55
Ho  0.0000  0.0000  0.6654  12 Dy 3.54-3.55

(3)
Below is a relaxed structure of La2Al2I, with properties calculated at the GGA-PBE level.

Results
Formation energy without anion corrections (meV/atom): -804

Unit cell a=4.3999 b=4.3999 c=17.6531 alpha=90.00 beta=90.00 gamma=120.00
Closest atoms and distances in Å follow each position.
Element x y z (fractional)
La  0.0000  0.0000  0.1195  6 Al 3.23-3.37, 3 I 3.43
La  0.0000  0.0000  0.3805  6 Al 3.23-3.37, 3 I 3.43
La  0.0000  0.0000  0.6195  6 Al 3.23-3.37, 3 I 3.43
La  0.0000  0.0000  0.8805  6 Al 3.23-3.37, 3 I 3.43
Al  0.3333  0.6667  0.0064  3 Al 2.55
Al  0.3333  0.6667  0.4936  3 Al 2.55
Al  0.6667  0.3333  0.5064  3 Al 2.55
Al  0.6667  0.3333  0.9936  3 Al 2.55
I  0.3333  0.6667  0.7500  6 La 3.43
I  0.6667  0.3333  0.2500  6 La 3.43

(4)
Below is a relaxed structure of BaPa2CoN4, with properties calculated at the GGA-PBE level.

Results
Formation energy without anion corrections (meV/atom): -708

Unit cell a=5.6860 b=5.6860 c=5.6860 alpha=117.67 beta=117.67 gamma=94.09
Closest atoms and distances in Å follow each position.
Element x y z (fractional)
Ba  0.0000  0.0000  0.0000  8 N 2.88-3.02
Pa  0.2500  0.7500  0.5000  4 N 2.23
Pa  0.7500  0.2500  0.5000  4 N 2.23
Co  0.5000  0.5000  0.0000  4 N 2.07
N  0.1385  0.1385  0.6157  1 Co 2.07, 2 Pa 2.23
N  0.4773  0.8615  0.0000  1 Co 2.07, 2 Pa 2.23
N  0.5227  0.5227  0.3843  1 Co 2.07, 2 Pa 2.23
N  0.8615  0.4773  0.0000  1 Co 2.07, 2 Pa 2.23

(5)
Below is a relaxed structure of SrAc2Sn3, with properties calculated at the GGA-PBE level.

Results
Formation enthalpy at 0 K (eV/atom): -0.403

Unit cell a=8.9391 b=8.9391 c=8.9391 alpha=105.84 beta=92.30 gamma=133.39
Closest atoms and distances in Å follow each position.
Element x y z (fractional)
Sr  0.4994  0.2494  0.2500  6 Ac 4.09-4.14, 12 Sn 4.44-4.47
Sr  0.5006  0.7506  0.7500  6 Ac 4.09-4.14, 12 Sn 4.44-4.47
Ac  0.1661  0.2501  0.9160  6 Sn 3.39
Ac  0.1659  0.7499  0.4160  6 Sn 3.39
Ac  0.8341  0.2501  0.5840  6 Sn 3.39
Ac  0.8339  0.7499  0.0840  6 Sn 3.39
Sn  0.0000  0.0000  0.5000  4 Ac 3.39, 4 Sn 3.57
Sn  0.0000  0.2500  0.2500  4 Ac 3.39, 4 Sn 3.54-3.57
Sn  0.0000  0.5000  0.0000  4 Ac 3.39, 4 Sn 3.57
Sn  0.0000  0.7500  0.7500  4 Ac 3.39, 4 Sn 3.54-3.57
Sn  0.5000  0.2500  0.7500  4 Ac 3.39, 4 Sn 3.54-3.57
Sn  0.5000  0.7500  0.2500  4 Ac 3.39, 4 Sn 3.54-3.57

(6)
Below is a relaxed structure of HPbIN2, with properties calculated at the GGA-PBE level.

Results
Electronic total energy (eV/atom): -3.107

Unit cell a=4.7098 b=4.7098 c=6.3946 alpha=90.00 beta=90.00 gamma=90.00
Closest atoms and distances in Å follow each position.
Element x y z (fractional)
H  0.0000  0.0000  0.0000  4 I 3.33
Pb  0.5000  0.5000  0.5000  4 N 2.35
I  0.5000  0.5000  0.0000  2 Pb 3.20, 4 H 3.33
N  0.0000  0.5000  0.5000  2 Pb 2.35
N  0.5000  0.0000  0.5000  2 Pb 2.35

(7)
Below is a relaxed structure of YCr3Sb, with properties calculated at the GGA-PBE level.

Results
Formation energy without anion corrections (meV/atom): 994

Unit cell a=5.0844 b=5.0844 c=5.0844 alpha=90.00 beta=90.00 gamma=90.00
Closest atoms and distances in Å follow each position.
Element x y z (fractional)
Y  0.0000  0.0000  0.0000  12 Cr 3.60
Cr  0.0000  0.5000  0.5000  2 Sb 2.54
Cr  0.5000  0.0000  0.5000  2 Sb 2.54
Cr  0.5000  0.5000  0.0000  2 Sb 2.54
Sb  0.5000  0.5000  0.5000  6 Cr 2.54